VASP calculation (PBE) on crystalline SmDy2Au at its relaxed geometry.

Results
Total magnetic moment: 0.000 μB/f.u.
Raw total energy: -4.59 eV per atom

```
data_SmDy2Au
_space_group_name_H-M_alt 'P 1'
_space_group_IT_number 1
_space_group_name_Hall 'P 1'
_cell_length_a 3.762
_cell_length_b 3.762
_cell_length_c 10.061
_cell_angle_alpha 79.23
_cell_angle_beta 79.23
_cell_angle_gamma 60.00
loop_
_atom_site_label
_atom_site_fract_x
_atom_site_fract_y
_atom_site_fract_z
_atom_site_occupancy
Sm1 0.501 0.501 0.497 1
Dy1 0.068 0.068 0.795 1
Dy2 0.265 0.265 0.205 1
Au1 0.666 0.666 0.002 1
```